Crystalline BeIrCl at its relaxed geometry, computed with GGA-PBE.

Output
The value obtained for the raw total energy is -0.3577 Ry per atom. Its mass density is 8.934 g/cm3. Its energy above the most stable polymorph in this dataset is 388 meV/atom. For the uncorrected formation energy, the calculation gives -0.055 eV per atom. Its space-group type is Pnma, No. 62. Its density of states at the Fermi level is 0.125 states/eV per atom.

Lattice parameters (Å, degrees): 5.4380 2.9291 11.0467 90.00 90.00 90.00
Closest atoms and distances in Å follow each position.
Positions (direct):
Ir: 0.1456 0.2500 0.4285  3 Be 2.33-2.59, 2 Cl 2.48-2.56
Ir: 0.6456 0.2500 0.0715  3 Be 2.33-2.59, 2 Cl 2.48-2.56
Cl: 0.7264 0.7500 0.7866  1 Be 2.04
Cl: 0.2264 0.7500 0.7134  1 Be 2.04
Ir: 0.3544 0.7500 0.9285  3 Be 2.33-2.59, 2 Cl 2.48-2.56
Be: 0.3810 0.7500 0.5448  1 Cl 2.04, 2 Be 2.19
Be: 0.8810 0.7500 0.9552  1 Cl 2.04, 2 Be 2.19
Ir: 0.8544 0.7500 0.5715  3 Be 2.33-2.59, 2 Cl 2.48-2.56
Be: 0.6190 0.2500 0.4552  1 Cl 2.04, 2 Be 2.19
Be: 0.1190 0.2500 0.0448  1 Cl 2.04, 2 Be 2.19
Cl: 0.7736 0.2500 0.2866  1 Be 2.04
Cl: 0.2736 0.2500 0.2134  1 Be 2.04